#w
# La4Sb

La4Sb after structural relaxation (PBE, the Alexandria database).

For the density, the calculation gives 5.59 g/cm3. Its magnetic moment is 1.14 μB per cell. Its calculated volume is 402.4 Å³/cell. For the density of states at the Fermi level, the calculation gives 17.59 states/eV per cell.

It has space group Im-3m (No. 229), with a = 7.383 Å, b = 7.383 Å, c = 7.383 Å, α = 90.00°, β = 90.00° and γ = 90.00°. The inequivalent atoms are La at (0.250, 0.250, 0.250) and Sb at (0.000, 0.000, 0.000).

=====

#x
# La4Sb

La4Sb after structural relaxation (PBE, the Alexandria database).

For the density, the calculation gives 5.01 g/cm3. Its magnetic moment is 0.93 μB per cell. Its calculated volume is 224.7 Å³/cell. For the density of states at the Fermi level, the calculation gives 11.88 states/eV per cell.

It has space group Pm-3m (No. 221), with a = 6.079 Å, b = 6.079 Å, c = 6.079 Å, α = 90.00°, β = 90.00° and γ = 90.00°. The inequivalent atoms are La at (0.000, 0.000, 0.000), La at (0.000, 0.500, 0.500) and Sb at (0.500, 0.500, 0.500).

=====

Least stable structure: #x

=====

#w
# La5Sb3

La5Sb3 after structural relaxation (PBE, the Alexandria database).

For the density, the calculation gives 6.90 g/cm3. Its magnetic moment is 0.18 μB per cell. Its calculated volume is 510.0 Å³/cell. For the density of states at the Fermi level, the calculation gives 20.54 states/eV per cell.

It has space group Cmmm (No. 65), with a = 8.704 Å, b = 11.346 Å, c = 5.165 Å, α = 90.00°, β = 90.00° and γ = 90.00°. The inequivalent atoms are La at (0.000, 0.000, 0.000), La at (0.217, 0.500, 0.500), La at (0.250, 0.250, 0.000), Sb at (0.000, 0.202, 0.500) and Sb at (0.000, 0.500, 0.000).

=====

#x
# La5Sb3

La5Sb3 after structural relaxation (PBE, the Alexandria database).

For the density, the calculation gives 6.68 g/cm3. Its magnetic moment is 1.85 μB per cell. Its calculated volume is 526.9 Å³/cell. For the density of states at the Fermi level, the calculation gives 21.45 states/eV per cell.

It has space group P6_3/mcm (No. 193), with a = 9.5667 Å, b = 9.5667 Å, c = 6.6478 Å, α = 90.00°, β = 90.00° and γ = 120.00°. The inequivalent atoms are La at (0.0000, 0.2559, 0.2500), La at (0.3333, 0.6667, 0.0000) and Sb at (0.0000, 0.3832, 0.7500).

=====

Least stable structure: #w

=====

#w
# LaScSb

LaScSb after structural relaxation (PBE, the Alexandria database).

For the density, the calculation gives 5.41 g/cm3. Its magnetic moment is 0.14 μB per cell. Its calculated volume is 375.5 Å³/cell. For the density of states at the Fermi level, the calculation gives 13.25 states/eV per cell.

It has space group F-43m (No. 216), with a = 7.215 Å, b = 7.215 Å, c = 7.215 Å, α = 90.00°, β = 90.00° and γ = 90.00°. The inequivalent atoms are La at (0.000, 0.000, 0.000), Sc at (0.000, 0.000, 0.500) and Sb at (0.250, 0.250, 0.750).

=====

#x
# LaScSb

LaScSb after structural relaxation (PBE, the Alexandria database).

For the density, the calculation gives 5.93 g/cm3. Its magnetic moment is 1.87 μB per cell. Its calculated volume is 171.1 Å³/cell. For the density of states at the Fermi level, the calculation gives 6.86 states/eV per cell.

It has space group I4mm (No. 107), with a = 3.922 Å, b = 3.922 Å, c = 11.124 Å, α = 90.00°, β = 90.00° and γ = 90.00°. The inequivalent atoms are La at (0.000, 0.000, 0.000), Sc at (0.000, 0.000, 0.705) and Sb at (0.000, 0.000, 0.314).

=====

Least stable structure: #w

=====

#w
# LaScSb

LaScSb after structural relaxation (PBE, the Alexandria database).

For the density, the calculation gives 5.88 g/cm3. Its magnetic moment is 2.32 μB per cell. Its calculated volume is 345.2 Å³/cell. For the density of states at the Fermi level, the calculation gives 15.77 states/eV per cell.

It has space group I4/mmm (No. 139), with a = 4.540 Å, b = 4.540 Å, c = 16.745 Å, α = 90.00°, β = 90.00° and γ = 90.00°. The inequivalent atoms are La at (0.000, 0.000, 0.174), Sc at (0.000, 0.500, 0.000) and Sb at (0.000, 0.000, 0.376).

=====

#x
# LaScSb

LaScSb after structural relaxation (PBE, the Alexandria database).

For the density, the calculation gives 5.09 g/cm3. Its magnetic moment is 1.46 μB per cell. Its calculated volume is 99.6 Å³/cell. For the density of states at the Fermi level, the calculation gives 3.64 states/eV per cell.

It has space group P3m1 (No. 156), with a = 4.2000 Å, b = 4.2000 Å, c = 6.5227 Å, α = 90.00°, β = 90.00° and γ = 120.00°. The inequivalent atoms are La at (0.0000, 0.0000, 0.0000), Sc at (0.3333, 0.6667, 0.5561) and Sb at (0.6667, 0.3333, 0.3190).

=====

Least stable structure: #x

=====

#w
# LaScSb

LaScSb after structural relaxation (PBE, the Alexandria database).

For the density, the calculation gives 5.90 g/cm3. Its magnetic moment is 0.10 μB per cell. Its calculated volume is 172.0 Å³/cell. For the density of states at the Fermi level, the calculation gives 7.72 states/eV per cell.

It has space group P4/nmm (No. 129, origin choice 2), with a = 4.487 Å, b = 4.487 Å, c = 8.543 Å, α = 90.00°, β = 90.00° and γ = 90.00°. The inequivalent atoms are La at (0.250, 0.250, 0.149), Sc at (0.250, 0.750, 0.500) and Sb at (0.250, 0.250, 0.746).

=====

#x
# LaScSb

LaScSb after structural relaxation (PBE, the Alexandria database).

For the density, the calculation gives 5.75 g/cm3. Its magnetic moment is 0.70 μB per cell. Its calculated volume is 88.2 Å³/cell. For the density of states at the Fermi level, the calculation gives 4.53 states/eV per cell.

It has space group P-6m2 (No. 187), with a = 4.9490 Å, b = 4.9490 Å, c = 4.1579 Å, α = 90.00°, β = 90.00° and γ = 120.00°. The inequivalent atoms are La at (0.0000, 0.0000, 0.0000), Sc at (0.6667, 0.3333, 0.5000) and Sb at (0.3333, 0.6667, 0.5000).

=====

#y
# LaScSb

LaScSb after structural relaxation (PBE, the Alexandria database).

For the density, the calculation gives 4.93 g/cm3. Its magnetic moment is 6.96 μB per cell. Its calculated volume is 411.4 Å³/cell. For the density of states at the Fermi level, the calculation gives 25.40 states/eV per cell.

It has space group F-43m (No. 216), with a = 7.437 Å, b = 7.437 Å, c = 7.437 Å, α = 90.00°, β = 90.00° and γ = 90.00°. The inequivalent atoms are La at (0.000, 0.000, 0.000), Sc at (0.250, 0.250, 0.250) and Sb at (0.250, 0.250, 0.750).

=====

Least stable structure: #y

=====

#w
# LaScSb3

LaScSb3 after structural relaxation (PBE, the Alexandria database).

For the density, the calculation gives 6.44 g/cm3. Its magnetic moment is 0.00 μB per cell. Its calculated volume is 566.1 Å³/cell. For the density of states at the Fermi level, the calculation gives 8.20 states/eV per cell.

It has space group Pbcm (No. 57), with a = 13.820 Å, b = 6.216 Å, c = 6.590 Å, α = 90.00°, β = 90.00° and γ = 90.00°. The inequivalent atoms are La at (0.181, 0.006, 0.250), Sc at (0.408, 0.750, 0.000), Sb at (0.001, 0.750, 0.000), Sb at (0.266, 0.001, 0.750) and Sb at (0.424, 0.139, 0.250).

=====

#x
# LaScSb3

LaScSb3 after structural relaxation (PBE, the Alexandria database).

For the density, the calculation gives 4.47 g/cm3. Its magnetic moment is 0.00 μB per cell. Its calculated volume is 204.2 Å³/cell. For the density of states at the Fermi level, the calculation gives 7.02 states/eV per cell.

It has space group Pm-3m (No. 221), with a = 5.888 Å, b = 5.888 Å, c = 5.888 Å, α = 90.00°, β = 90.00° and γ = 90.00°. The inequivalent atoms are La at (0.000, 0.000, 0.000), Sc at (0.500, 0.500, 0.500) and Sb at (0.000, 0.000, 0.500).

=====

Least stable structure: #x

=====

#w
# La2SbSe5

La2SbSe5 after structural relaxation (PBE, the Alexandria database).

For the density, the calculation gives 6.29 g/cm3. Its magnetic moment is 0.00 μB per cell. Its calculated volume is 419.4 Å³/cell. For the density of states at the Fermi level, the calculation gives 5.62 states/eV per cell.

It has space group Pbam (No. 55), with a = 8.106 Å, b = 11.973 Å, c = 4.321 Å, α = 90.00°, β = 90.00° and γ = 90.00°. The inequivalent atoms are La at (0.075, 0.170, 0.000), Sb at (0.000, 0.500, 0.500), Se at (0.000, 0.000, 0.500), Se at (0.149, 0.710, 0.500) and Se at (0.202, 0.434, 0.000).

=====

#x
# La2SbSe5

La2SbSe5 after structural relaxation (PBE, the Alexandria database).

For the density, the calculation gives 4.53 g/cm3. Its magnetic moment is 0.00 μB per cell. Its calculated volume is 1163.5 Å³/cell. For the density of states at the Fermi level, the calculation gives 9.92 states/eV per cell.

It has space group Cmcm (No. 63), with a = 5.696 Å, b = 14.797 Å, c = 13.806 Å, α = 90.00°, β = 90.00° and γ = 90.00°. The inequivalent atoms are La at (0.000, 0.156, 0.072), Sb at (0.000, 0.163, 0.750), Se at (0.000, 0.042, 0.606), Se at (0.000, 0.285, 0.250) and Se at (0.000, 0.293, 0.593).

=====

Least stable structure: #x

=====

#w
# La5Sb4Se

La5Sb4Se after structural relaxation (PBE, the Alexandria database).

For the density, the calculation gives 6.20 g/cm3. Its magnetic moment is 0.00 μB per cell. Its calculated volume is 675.4 Å³/cell. For the density of states at the Fermi level, the calculation gives 5.03 states/eV per cell.

It has space group I4/mmm (No. 139), with a = 4.575 Å, b = 4.575 Å, c = 32.272 Å, α = 90.00°, β = 90.00° and γ = 90.00°. The inequivalent atoms are La at (0.000, 0.000, 0.000), La at (0.000, 0.000, 0.200), La at (0.000, 0.000, 0.402), Sb at (0.000, 0.000, 0.098), Sb at (0.000, 0.000, 0.301) and Se at (0.000, 0.000, 0.500).

=====

#x
# La5Sb4Se

La5Sb4Se after structural relaxation (PBE, the Alexandria database).

For the density, the calculation gives 6.20 g/cm3. Its magnetic moment is 0.00 μB per cell. Its calculated volume is 674.8 Å³/cell. For the density of states at the Fermi level, the calculation gives 7.03 states/eV per cell.

It has space group Immm (No. 71), with a = 4.569 Å, b = 6.469 Å, c = 22.827 Å, α = 90.00°, β = 90.00° and γ = 90.00°. The inequivalent atoms are La at (0.000, 0.000, 0.000), La at (0.000, 0.000, 0.201), La at (0.000, 0.000, 0.403), Sb at (0.000, 0.500, 0.197), Sb at (0.000, 0.500, 0.401) and Se at (0.000, 0.500, 0.000).

=====

Least stable structure: #w